Here is crystalline K3Pr2PdO6 at its relaxed geometry from the Alexandria database. Energies are from PBE.

Lattice parameters (Å, degrees): 6.142 6.142 6.581 98.54 98.54 120.42
Each line ends with the local moment (μB).
Fractional coordinates of all 12 atoms:
Pd1 0.000 0.000 0.000  0.53
O1 0.760 0.760 0.176  -0.01
O2 0.067 0.396 0.203  0.10
K1 0.158 0.842 0.500  0.00
O3 0.604 0.933 0.797  0.10
O4 0.240 0.240 0.824  -0.01
K2 0.500 0.500 0.500  0.00
K3 0.842 0.158 0.500  0.00
Pr1 0.330 0.670 0.000  0.00
O5 0.396 0.067 0.203  0.10
Pr2 0.670 0.330 0.000  0.00
O6 0.933 0.604 0.797  0.10

Formation energy without anion corrections (eV/atom): -1.900
Volume (Å³/f.u.): 204.3
M_tot (μB/cell): 1.00